1.
This record from Alexandria describes a relaxed structure of Ba4InPt. The functional is GGA-PBE.

Output
magnetic moment	0.00	μB/atom
space group	No. 11
crystal system	monoclinic
ΔE_f	-0.412	eV per atom

a = 6.351 Å, b = 8.707 Å, c = 10.235 Å
α = 90.00°, β = 116.44°, γ = 90.00°
Sites, in units of the cell vectors:
Pt 0.855 0.750 0.457
In 0.296 0.250 0.068
Ba 0.349 0.750 0.127
Pt 0.145 0.250 0.543
Ba 0.556 0.250 0.443
Ba 0.089 0.982 0.739
In 0.704 0.750 0.932
Ba 0.444 0.750 0.557
Ba 0.089 0.518 0.739
Ba 0.911 0.482 0.261
Ba 0.651 0.250 0.873
Ba 0.911 0.018 0.261



2.
This record from Alexandria describes a relaxed structure of NpCoPbS4. The functional is GGA-PBE.

Output
magnetic moment	0.17	μB/atom
space group	No. 11
E_form (uncorrected)	-0.72	eV/atom
crystal system	monoclinic

a = 6.599 Å, b = 5.646 Å, c = 8.189 Å
α = 90.00°, β = 106.32°, γ = 90.00°
Site moments in Bohr magnetons follow the coordinates.
Sites, in units of the cell vectors:
S 0.573 0.250 0.404  -0.15
Co 0.231 0.750 0.334  -1.54
S 0.981 0.490 0.275  -0.09
Co 0.769 0.250 0.666  -1.54
Np 0.744 0.750 0.447  3.31
Np 0.256 0.250 0.553  3.31
S 0.981 0.010 0.275  -0.09
S 0.019 0.510 0.725  -0.09
Pb 0.281 0.250 0.054  -0.03
Pb 0.719 0.750 0.946  -0.03
S 0.429 0.750 0.148  -0.11
S 0.427 0.750 0.596  -0.15
S 0.019 0.990 0.725  -0.09
S 0.571 0.250 0.852  -0.11



3.
This record from Alexandria describes a relaxed structure of Tm3TeI7. The functional is GGA-PBE.

Output
magnetic moment	0.00	μB/atom
space group	No. 8
E_form (uncorrected)	-1.36	eV/atom
crystal system	monoclinic

a = 8.647 Å, b = 8.649 Å, c = 8.780 Å
α = 75.91°, β = 60.50°, γ = 60.01°
Sites, in units of the cell vectors:
I 0.353 0.919 0.376
Te 0.785 0.587 0.842
I 0.856 0.422 0.377
I 0.289 0.595 0.827
I 0.289 0.083 0.827
I 0.345 0.422 0.377
Tm 0.581 0.746 0.612
I 0.800 0.083 0.827
I 0.855 0.912 0.377
Tm 0.061 0.746 0.612
Tm 0.060 0.266 0.613



4.
This record from Alexandria describes a relaxed structure of DyAl4Ga. The functional is GGA-PBE.

Output
magnetic moment	0.00	μB/atom
space group	No. 65
crystal system	orthorhombic
ΔE_f	-0.256	eV per atom

a = 4.198 Å, b = 4.237 Å, c = 6.614 Å
α = 90.00°, β = 108.50°, γ = 90.00°
Sites, in units of the cell vectors:
Al 0.175 0.500 0.349
Al 0.322 0.000 0.645
Al 0.825 0.500 0.651
Al 0.678 0.000 0.355
Ga 0.500 0.500 0.000
Dy 0.000 0.000 0.000



5.
This record from Alexandria describes a relaxed structure of Pm4Ga3Si5. The functional is GGA-PBE.

Output
magnetic moment	0.00	μB/atom
space group	No. 12
E_form (uncorrected)	-0.29	eV/atom
crystal system	monoclinic

a = 4.495 Å, b = 7.338 Å, c = 9.797 Å
α = 81.62°, β = 76.74°, γ = 72.16°
Sites, in units of the cell vectors:
Si 0.751 0.659 0.839
Ga 0.000 0.500 0.500
Pm 0.243 0.845 0.669
Si 0.429 0.019 0.122
Pm 0.757 0.155 0.331
Ga 0.410 0.826 0.353
Ga 0.590 0.174 0.647
Si 0.571 0.981 0.878
Si 0.249 0.341 0.161
Pm 0.104 0.736 0.055
Pm 0.896 0.264 0.945
Si 0.500 0.500 0.500



6.
This record from Alexandria describes a relaxed structure of VInPd2. The functional is GGA-PBE.

Output
magnetic moment	0.83	μB/atom
space group	No. 123
crystal system	tetragonal
ΔE_f	-0.205	eV per atom

a = 3.726 Å, b = 4.236 Å, c = 4.236 Å
α = 90.00°, β = 90.00°, γ = 90.00°
Site moments in Bohr magnetons follow the coordinates.
Sites, in units of the cell vectors:
Pd 0.000 0.000 0.500  0.23
V 0.500 0.500 0.500  2.38
Pd 0.000 0.500 0.000  0.23
In 0.500 0.000 0.000  0.02